[1]
# KTl4Bi

A geometry-optimized KTl4Bi structure (PBE, Alexandria via LeMat-Bulk).

Cell lengths 10.5770, 4.5471, 8.8657 Å; angles 90.00, 90.00, 90.00 degrees
Last column: nearest neighbours and their distance in Å.
Sites, in units of the cell vectors:
K: 0.2500 0.0000 0.1499  1 Bi 3.51, 6 Tl 3.68-3.76
K: 0.7500 0.0000 0.8501  1 Bi 3.51, 6 Tl 3.68-3.76
Tl: 0.0000 0.0000 0.5000  2 Bi 3.47, 8 Tl 3.49-3.55
Tl: 0.0310 0.5000 0.8050  2 Bi 3.28, 3 Tl 3.52-3.55
Tl: 0.2500 0.5000 0.4759  2 Bi 3.35, 6 Tl 3.49-3.73, 2 K 3.68
Tl: 0.4690 0.5000 0.8050  2 Bi 3.28, 3 Tl 3.52-3.55
Tl: 0.5000 0.0000 0.5000  2 Bi 3.47, 8 Tl 3.49-3.55
Tl: 0.5310 0.5000 0.1950  2 Bi 3.28, 3 Tl 3.52-3.55
Tl: 0.7500 0.5000 0.5241  2 Bi 3.35, 6 Tl 3.49-3.73, 2 K 3.68
Tl: 0.9690 0.5000 0.1950  2 Bi 3.28, 3 Tl 3.52-3.55
Bi: 0.2500 0.0000 0.7535  8 Tl 3.28-3.47, 1 K 3.51
Bi: 0.7500 0.0000 0.2465  8 Tl 3.28-3.47, 1 K 3.51

Summary:
**DOS at the Fermi energy**: 5.04 states/eV per cell
**Formation enthalpy at 0 K**: -98 meV per atom
**ΔE to the lowest computed polymorph**: 0.0003 eV per atom
**SG**: Pmma (51)
**Magnetic moment**: 0.0 Bohr magnetons per cell
**Final energy**: -2.505 eV/atom

[2]
# BiSb2Se

A geometry-optimized BiSb2Se structure (PBE, Alexandria via LeMat-Bulk).

Cell lengths 6.2604, 6.4953, 6.5884 Å; angles 86.33, 87.52, 79.98 degrees
Last column: nearest neighbours and their distance in Å.
Sites, in units of the cell vectors:
Bi: 0.0000 0.0000 0.0000  1 Se 2.84, 1 Sb 3.05, 1 Bi 3.12
Bi: 0.0334 0.9775 0.4720  1 Se 2.80, 1 Sb 3.04, 1 Bi 3.12
Sb: 0.0038 0.4696 0.9726  2 Sb 2.91-3.00, 1 Bi 3.05
Sb: 0.0425 0.5072 0.5301  2 Sb 2.91-3.01, 1 Bi 3.04
Sb: 0.5249 0.4876 0.0441  1 Se 2.66, 1 Sb 2.95
Sb: 0.5280 0.4746 0.4924  1 Se 2.63
Se: 0.4326 0.8868 0.1343  1 Sb 2.66, 1 Bi 2.84
Se: 0.6133 0.0842 0.6394  1 Sb 2.63, 1 Bi 2.80

Summary:
**DOS at the Fermi energy**: 0.41 states/eV per cell
**Formation energy without anion corrections**: -0.2 eV per formula unit
**ΔE to the lowest computed polymorph**: 0.0063 eV per atom
**SG**: P1 (1)
**Magnetic moment**: 0.0 Bohr magnetons per cell
**Final energy**: -3.950 eV/atom

[3]
# NaFePb3

A geometry-optimized NaFePb3 structure (PBE, Alexandria via LeMat-Bulk).

Cell lengths 5.2568, 5.2568, 5.2568 Å; angles 90.00, 90.00, 90.00 degrees
Last column: nearest neighbours and their distance in Å.
Sites, in units of the cell vectors:
Na: 0.0000 0.0000 0.0000  12 Pb 3.72
Fe: 0.5000 0.5000 0.5000  6 Pb 2.63
Pb: 0.0000 0.5000 0.5000  2 Fe 2.63
Pb: 0.5000 0.0000 0.5000  2 Fe 2.63
Pb: 0.5000 0.5000 0.0000  2 Fe 2.63

Summary:
**DOS at the Fermi energy**: 2.24 states/eV per cell
**Formation enthalpy at 0 K**: 181 meV per atom
**ΔE to the lowest computed polymorph**: 0.0000 eV per atom
**SG**: Pm-3m (221)
**Magnetic moment**: 2.6 Bohr magnetons per cell
**Final energy**: -4.000 eV/atom

[4]
# SmTaClO4

A geometry-optimized SmTaClO4 structure (PBE, Alexandria via LeMat-Bulk).

Cell lengths 6.9010, 6.9010, 7.1648 Å; angles 101.96, 101.96, 60.19 degrees
Last column: nearest neighbours and their distance in Å.
Sites, in units of the cell vectors:
Sm: 0.2137 0.2137 0.3519  4 O 2.24-2.34
Sm: 0.7863 0.7863 0.6481  4 O 2.24-2.34
Ta: 0.1394 0.1394 0.7744  4 O 1.84-1.88
Ta: 0.8606 0.8606 0.2256  4 O 1.84-1.88
Cl: 0.4783 0.4783 0.6258  1 Cl 1.99
Cl: 0.5217 0.5217 0.3742  1 Cl 1.99
O: 0.0082 0.6050 0.3576  1 Ta 1.88
O: 0.0208 0.0208 0.2714  1 Ta 1.86
O: 0.2086 0.2086 0.0339  1 Ta 1.84
O: 0.3950 0.9918 0.6424  1 Ta 1.88
O: 0.6050 0.0082 0.3576  1 Ta 1.88
O: 0.7914 0.7914 0.9661  1 Ta 1.84
O: 0.9792 0.9792 0.7286  1 Ta 1.86
O: 0.9918 0.3950 0.6424  1 Ta 1.88

Summary:
**Formation energy without anion corrections**: -18.3 eV per formula unit
**SG**: C2/m (12)
**Magnetic moment**: 0.0 Bohr magnetons per cell
**Final energy**: -8.074 eV/atom

magnetic moment of number 4 (SmTaClO4)?
0.0 Bohr magnetons per cell

Among the records above, which one has the highest magnetic moment?
NaFePb3

Among the records above, which one has the lowest final energy?
SmTaClO4